(1)
A relaxed structure of Cs6PdO, computed with GGA-PBE.

Lattice parameters (Å, degrees): 8.9069 8.9069 8.5299 92.18 92.18 118.14
With the nearest neighbours (Å) after each atom.
Element x y z (fractional)
Cs: 0.7444 0.7444 0.1920  1 O 2.95
Cs: 0.0030 0.7385 0.7803  1 O 2.94
Cs: 0.2556 0.2556 0.8080  1 O 2.95
Cs: 0.9970 0.2615 0.2197  1 O 2.94
Cs: 0.2615 0.9970 0.2197  1 O 2.94
Cs: 0.7385 0.0030 0.7803  1 O 2.94
O: 0.0000 0.0000 0.0000  6 Cs 2.94-2.95
Pd: 0.0000 0.0000 0.5000  6 Cs 3.39-3.41

Computed properties:
Symmetry: C2/m, No. 12
E: -17.96 eV per cell
ΔE_f (raw): -336 meV per atom



(2)
A relaxed structure of Cs2PdO, computed with GGA-PBE.

Lattice parameters (Å, degrees): 4.8103 7.4802 7.7189 90.00 90.00 108.76
With the nearest neighbours (Å) after each atom.
Element x y z (fractional)
Pd: 0.0375 0.0749 0.2500  1 O 2.02
Pd: 0.9625 0.9251 0.7500  1 O 2.02
Cs: 0.3556 0.7112 0.0018  3 O 3.13-3.14, 2 Pd 3.44
Cs: 0.6444 0.2888 0.5018  3 O 3.13-3.14, 2 Pd 3.44
Cs: 0.6444 0.2888 0.9982  3 O 3.13-3.14, 2 Pd 3.44
Cs: 0.3556 0.7112 0.4982  3 O 3.13-3.14, 2 Pd 3.44
O: 0.8202 0.6403 0.7500  1 Pd 2.02
O: 0.1798 0.3597 0.2500  1 Pd 2.02

Computed properties:
Symmetry: Cmcm, No. 63
E: -27.15 eV per cell
Energy above the lowest structure with this stoichiometry: 0 kJ/mol of formula units
ΔE_f (raw): -430 meV per atom



(3)
A relaxed structure of CsPdO, computed with GGA-PBE.

Lattice parameters (Å, degrees): 3.6994 6.9105 6.1112 111.59 90.00 90.00
With the nearest neighbours (Å) after each atom.
Element x y z (fractional)
O: 0.7500 0.7188 0.3382  2 Pd 2.04
O: 0.2500 0.2812 0.6618  2 Pd 2.04
Cs: 0.2500 0.3138 0.1717  4 O 3.04-3.19
Cs: 0.7500 0.6862 0.8283  4 O 3.04-3.19
Pd: 0.7500 0.1477 0.5909  2 O 2.04
Pd: 0.2500 0.8523 0.4091  2 O 2.04

Computed properties:
Symmetry: P2_1/m, No. 11
E: -25.70 eV per cell
ΔE_f (raw): -615 meV per atom



(4)
A relaxed structure of Cs2PdO, computed with GGA-PBE.

Lattice parameters (Å, degrees): 5.3458 5.3458 5.3458 60.00 60.00 60.00
With the nearest neighbours (Å) after each atom.
Element x y z (fractional)
Cs: 0.7500 0.7500 0.7500  4 O 3.27, 4 Pd 3.27
Cs: 0.2500 0.2500 0.2500  4 Pd 3.27, 4 O 3.27
Pd: 0.5000 0.5000 0.5000  8 Cs 3.27
O: 0.0000 0.0000 0.0000  8 Cs 3.27

Computed properties:
Symmetry: Fm-3m, No. 225
E: -11.84 eV per cell
Energy above the lowest structure with this stoichiometry: 168 kJ/mol of formula units
ΔE_f (raw): 5 meV per atom



(5)
A relaxed structure of Cs4PdO4, computed with GGA-PBE.

Lattice parameters (Å, degrees): 5.9805 8.8318 8.8318 90.00 90.00 90.00
With the nearest neighbours (Å) after each atom.
Element x y z (fractional)
Cs: 0.7502 0.8649 0.0452  4 O 2.81-3.10
Cs: 0.2502 0.5452 0.1351  4 O 2.81-3.10
Cs: 0.7498 0.0452 0.6351  4 O 2.81-3.10
Cs: 0.2498 0.1351 0.9548  4 O 2.81-3.10
Cs: 0.2498 0.3649 0.5452  4 O 2.81-3.10
Cs: 0.7498 0.4548 0.8649  4 O 2.81-3.10
Cs: 0.7502 0.6351 0.4548  4 O 2.81-3.10
Cs: 0.2502 0.9548 0.3649  4 O 2.81-3.10
O: 0.7504 0.0344 0.3151  1 Pd 1.99
O: 0.2504 0.8151 0.9656  1 Pd 1.99
O: 0.7504 0.4656 0.1849  1 Pd 1.99
O: 0.7496 0.1849 0.0344  1 Pd 1.99
O: 0.2496 0.9656 0.6849  1 Pd 1.99
O: 0.2504 0.6849 0.5344  1 Pd 1.99
O: 0.2496 0.5344 0.8151  1 Pd 1.99
O: 0.7496 0.3151 0.4656  1 Pd 1.99
Pd: 0.2500 0.7500 0.7500  4 O 1.99
Pd: 0.7500 0.2500 0.2500  4 O 1.99

Computed properties:
Symmetry: I4/m, No. 87
E: -74.11 eV per cell
ΔE_f (raw): -957 meV per atom



(6)
A relaxed structure of CsPd4O8, computed with GGA-PBE.

Lattice parameters (Å, degrees): 6.2584 6.2584 8.0492 67.12 67.12 60.00
With the nearest neighbours (Å) after each atom.
Element x y z (fractional)
O: 0.7864 0.7864 0.1392  3 Pd 2.06-2.07
O: 0.2136 0.7120 0.8608  3 Pd 2.06-2.07
O: 0.2880 0.7864 0.1392  3 Pd 2.06-2.07
O: 0.2136 0.2136 0.8608  3 Pd 2.06-2.07
O: 0.7120 0.2136 0.8608  3 Pd 2.06-2.07
O: 0.7864 0.2880 0.1392  3 Pd 2.06-2.07
O: 0.7127 0.7127 0.8620  3 Pd 2.06
O: 0.2873 0.2873 0.1380  3 Pd 2.06
Pd: 0.5000 0.0000 0.0000  6 O 2.06
Pd: 0.0000 0.5000 0.0000  6 O 2.06
Pd: 0.0000 0.0000 0.0000  6 O 2.07
Pd: 0.5000 0.5000 0.0000  6 O 2.06
Cs: 0.5000 0.5000 0.5000  6 O 3.16

Computed properties:
Symmetry: R-3m, No. 166
E: -68.55 eV per cell
ΔE_f (raw): -558 meV per atom



(7)
A relaxed structure of Cs2Pd2O, computed with GGA-PBE.

Lattice parameters (Å, degrees): 6.8040 6.8040 5.8918 54.73 54.73 90.00
With the nearest neighbours (Å) after each atom.
Element x y z (fractional)
Pd: 0.6981 0.6981 0.6039  1 O 2.05
Pd: 0.3019 0.3019 0.3961  1 O 2.05
Cs: 0.2500 0.7500 0.5000  2 Cs 3.40, 4 Pd 3.42, 4 O 3.80
Cs: 0.7500 0.2500 0.5000  2 Cs 3.40, 4 Pd 3.42, 4 O 3.80
O: 0.0000 0.0000 0.0000  2 Pd 2.05

Computed properties:
Symmetry: I4/mmm, No. 139
E: -17.00 eV per cell
Energy above the lowest structure with this stoichiometry: 0 kJ/mol of formula units
ΔE_f (raw): 10 meV per atom



(8)
A relaxed structure of Cs3Pm3PdO8, computed with GGA-PBE.

Lattice parameters (Å, degrees): 7.0944 7.0942 8.0653 116.11 90.00 120.00
With the nearest neighbours (Å) after each atom.
Element x y z (fractional)
O: 0.2039 0.9536 0.6573  1 Pd 2.16, 2 Pm 2.41
O: 0.7961 0.0464 0.3427  1 Pd 2.16, 2 Pm 2.41
O: 0.7217 0.4433 0.6648  3 Pm 2.35
O: 0.2039 0.4078 0.6573  1 Pd 2.16, 2 Pm 2.41
O: 0.2503 0.0464 0.3427  1 Pd 2.16, 2 Pm 2.41
O: 0.7961 0.5922 0.3427  1 Pd 2.16, 2 Pm 2.41
O: 0.7497 0.9536 0.6573  1 Pd 2.16, 2 Pm 2.41
O: 0.2783 0.5567 0.3352  3 Pm 2.35
Cs: 0.0000 0.0000 0.0000  6 O 3.08-3.10
Cs: 0.0000 0.5000 0.0000  6 O 3.08-3.10
Cs: 0.5000 0.5000 0.0000  6 O 3.08-3.10
Pd: 0.0000 0.0000 0.5000  6 O 2.16
Pm: 0.5000 0.0000 0.5000  6 O 2.35-2.41
Pm: 0.5000 0.5000 0.5000  6 O 2.35-2.41
Pm: 0.0000 0.5000 0.5000  6 O 2.35-2.41

Computed properties:
Symmetry: R-3m, No. 166
E: -93.07 eV per cell
ΔE_f (raw): -2093 meV per atom



(9)
A relaxed structure of CsPmPdO4, computed with GGA-PBE.

Lattice parameters (Å, degrees): 6.0799 5.7161 9.3083 90.00 119.81 90.00
With the nearest neighbours (Å) after each atom.
Element x y z (fractional)
O: 0.0811 0.4797 0.6756  1 Pd 1.98
O: 0.9189 0.5203 0.3244  1 Pd 1.98
O: 0.5665 0.2500 0.4679  1 Pd 1.98
O: 0.6216 0.2500 0.7765  1 Pd 1.90
O: 0.0811 0.0203 0.6756  1 Pd 1.98
O: 0.4335 0.7500 0.5321  1 Pd 1.98
O: 0.3784 0.7500 0.2235  1 Pd 1.90
O: 0.9189 0.9797 0.3244  1 Pd 1.98
Pd: 0.1445 0.7500 0.3024  4 O 1.90-1.98
Pd: 0.8555 0.2500 0.6976  4 O 1.90-1.98
Pm: 0.2234 0.2500 0.5237  6 O 2.38-2.42
Pm: 0.7766 0.7500 0.4763  6 O 2.38-2.42
Cs: 0.4321 0.2500 0.1194  5 O 2.93-3.09
Cs: 0.5679 0.7500 0.8806  5 O 2.93-3.09

Computed properties:
Symmetry: P2_1/m, No. 11
E: -82.28 eV per cell
ΔE_f (raw): -1501 meV per atom



(10)
A relaxed structure of CsPr2PdO5, computed with GGA-PBE.

Lattice parameters (Å, degrees): 6.9638 6.9638 7.8856 116.20 116.20 90.00
With the nearest neighbours (Å) after each atom.
Element x y z (fractional)
Pd: 0.7500 0.2500 0.5000  4 O 2.06
Pd: 0.2500 0.7500 0.5000  4 O 2.06
O: 0.7551 0.2551 0.7649  1 Pd 2.06
O: 0.9902 0.4902 0.2351  1 Pd 2.06
O: 0.5098 0.7551 0.7649  1 Pd 2.06
O: 0.4902 0.2449 0.2351  1 Pd 2.06
O: 0.0000 0.0000 0.0000  4 Pr 2.57
O: 0.0098 0.5098 0.7649  1 Pd 2.06
O: 0.2551 0.0098 0.7649  1 Pd 2.06
O: 0.2449 0.7449 0.2351  1 Pd 2.06
O: 0.7449 0.9902 0.2351  1 Pd 2.06
O: 0.5000 0.5000 0.0000  4 Pr 2.57
Pr: 0.8248 0.6752 0.0000  8 O 2.42-2.58
Pr: 0.1752 0.3248 0.0000  8 O 2.42-2.58
Pr: 0.3248 0.8248 0.0000  8 O 2.42-2.58
Pr: 0.6752 0.1752 0.0000  8 O 2.42-2.58
Cs: 0.7500 0.7500 0.5000  10 O 3.08-3.19
Cs: 0.2500 0.2500 0.5000  10 O 3.08-3.19

Computed properties:
Symmetry: I4/mcm, No. 140
E: -117.13 eV per cell
ΔE_f (raw): -2019 meV per atom



(11)
A relaxed structure of Cs2PrPdO4, computed with GGA-PBE.

Lattice parameters (Å, degrees): 6.2616 7.8127 12.6749 84.32 75.70 66.38
With the nearest neighbours (Å) after each atom.
Element x y z (fractional)
O: 0.9108 0.6994 0.5279  1 Pd 2.04, 1 Pr 2.26
O: 0.3898 0.6994 0.4721  1 Pd 2.04, 1 Pr 2.26
O: 0.6120 0.1994 0.0279  1 Pd 2.04, 1 Pr 2.26
O: 0.3602 0.8006 0.0279  1 Pd 2.04, 1 Pr 2.26
O: 0.1380 0.3006 0.4721  1 Pd 2.04, 1 Pr 2.26
O: 0.1886 0.1994 0.9721  1 Pd 2.04, 1 Pr 2.26
O: 0.5614 0.3006 0.5279  1 Pd 2.04, 1 Pr 2.26
O: 0.8392 0.8006 0.9721  1 Pd 2.04, 1 Pr 2.26
Cs: 0.9406 0.5000 0.1187  2 O 2.81
Cs: 0.8094 0.0000 0.3813  2 O 2.81
Cs: 0.1906 0.0000 0.6187  2 O 2.81
Cs: 0.5594 0.5000 0.8813  2 O 2.81
Pr: 0.7500 0.5000 0.5000  4 O 2.26
Pr: 0.0000 0.0000 0.0000  4 O 2.26
Pd: 0.5000 0.0000 0.0000  4 O 2.04
Pd: 0.2500 0.5000 0.5000  4 O 2.04

Computed properties:
Symmetry: Fddd, No. 70
E: -84.07 eV per cell
ΔE_f (raw): -1316 meV per atom